{"formula": "NiSO2", "functional": "GGA+U", "state": "relaxed", "magnetic_moment_mub_per_fu": 1.84, "dos_ef_per_ev_fu": 0.971, "final_energy_ev_per_atom": -4.728, "spacegroup": "No. 166", "lattice_angstrom": [[1.477, 0.853, 5.736], [-1.477, 0.853, 5.736], [0.000, -1.706, 5.736]], "species": ["Ni", "S", "O", "O"], "fractional_positions": [[0.000, 0.000, 0.000], [0.500, 0.500, 0.500], [0.398, 0.398, 0.398], [0.602, 0.602, 0.602]]}